1.
The following is a DFT calculation (meta-GGA SCAN) of SbPtCl at its PBEsol-relaxed geometry.

It has space group F-43m (No. 216), with a = 6.4970 Å, b = 6.4970 Å, c = 6.4970 Å, α = 90.00°, β = 90.00° and γ = 90.00°. Symmetry generates all atoms from Sb at (0.0000, 0.0000, 0.0000), Pt at (0.2500, 0.2500, 0.7500) and Cl at (0.2500, 0.2500, 0.2500).

The value obtained for the raw formation energy is 0.159 eV/atom. As for the total magnetic moment: 0.0 μB per cell. The calculation puts the volume at 274 Å³/cell.

2.
The following is a DFT calculation (meta-GGA SCAN) of SbPtCl2 at its PBEsol-relaxed geometry.

It has space group P4/mmm (No. 123), with a = 4.2559 Å, b = 4.2559 Å, c = 4.2451 Å, α = 90.00°, β = 90.00° and γ = 90.00°. Symmetry generates all atoms from Sb at (0.0000, 0.0000, 0.0000), Pt at (0.5000, 0.5000, 0.0000) and Cl at (0.0000, 0.5000, 0.5000).

The value obtained for the raw formation energy is 0.485 eV/atom. As for the total magnetic moment: 0.0 μB per cell. The calculation puts the volume at 77 Å³/cell.

Q: What is the formula in the first record?
A: SbPtCl